Record 1
# Tl2ZnPb, optimized geometry, DFT PBE
# **ΔH_f (0 K)**: 103 meV per atom
# **Distance to the lowest polymorph of the same formula**: 19 meV/atom
# **Calculated total energy**: -2.33 eV per atom
data_Tl2ZnPb
_chemical_formula_sum 'Tl6 Zn3 Pb3'
_cell_length_a 3.4973
_cell_length_b 3.4973
_cell_length_c 31.1752
_cell_angle_alpha 90.00
_cell_angle_beta 90.00
_cell_angle_gamma 120.00
_space_group_name_H-M_alt 'R -3 m'
_space_group_IT_number 166
_space_group_name_Hall '-R 3 2"'
loop_
_atom_site_label
_atom_site_type_symbol
_atom_site_fract_x
_atom_site_fract_y
_atom_site_fract_z
Tl1 Tl 0.0000 0.0000 0.2391
Zn1 Zn 0.0000 0.0000 0.5000
Pb1 Pb 0.0000 0.0000 0.0000



Record 2
# CrSe3, optimized geometry, DFT PBE
# **Formation energy (no corrections)**: 2.00 kcal/mol of atoms
# **Calculated total energy**: -4.93 eV per atom
data_CrSe3
_chemical_formula_sum 'Cr4 Se12'
_cell_length_a 3.650
_cell_length_b 3.650
_cell_length_c 30.411
_cell_angle_alpha 90.00
_cell_angle_beta 90.00
_cell_angle_gamma 90.00
_space_group_name_H-M_alt 'I 4/m m m'
_space_group_IT_number 139
_space_group_name_Hall '-I 4 2'
loop_
_atom_site_label
_atom_site_type_symbol
_atom_site_fract_x
_atom_site_fract_y
_atom_site_fract_z
Cr1 Cr 0.000 0.000 0.164
Se1 Se 0.000 0.000 0.361
Se2 Se 0.000 0.500 0.000
Se3 Se 0.000 0.500 0.250